# 1
Material: ThCoSi2Ni
Method: DFT, PBE-GGA
State: relaxed

Results
DFT total energy = -35.19 eV for the cell shown
theoretical density = 8480 kg/m3
formation energy from raw total energies = -0.8066 eV/atom

Cell lengths 4.0511, 4.0511, 5.6261 Å; angles 111.10, 111.10, 90.00 degrees
With the nearest neighbours (Å) after each atom.
Positions (direct):
Si (0.6297, 0.6297, 0.2595)  2 Ni 2.34, 2 Co 2.34, 1 Si 2.51
Co (0.2500, 0.7500, 0.5000)  4 Si 2.34
Ni (0.7500, 0.2500, 0.5000)  4 Si 2.34
Si (0.3703, 0.3703, 0.7405)  2 Co 2.34, 2 Ni 2.34, 1 Si 2.51
Th (0.0000, 0.0000, 0.0000)  8 Si 3.13, 4 Co 3.16, 4 Ni 3.16



# 2
Material: ThNiHg
Method: DFT, PBE-GGA
State: relaxed

Results
DFT total energy = -29.66 eV for the cell shown
theoretical density = 12264 kg/m3
formation enthalpy at 0 K = -442 meV per atom

Cell lengths 3.7496, 4.1845, 8.6847 Å; angles 90.00, 102.47, 90.00 degrees
With the nearest neighbours (Å) after each atom.
Positions (direct):
Ni (0.9554, 0.7500, 0.9109)  2 Ni 2.58, 1 Hg 2.74
Ni (0.0446, 0.2500, 0.0891)  2 Ni 2.58, 1 Hg 2.74
Hg (0.2063, 0.2500, 0.4127)  1 Ni 2.74
Th (0.5914, 0.7500, 0.1828)  6 Ni 2.92-2.97
Hg (0.7937, 0.7500, 0.5873)  1 Ni 2.74
Th (0.4086, 0.2500, 0.8172)  6 Ni 2.92-2.97



# 3
Material: Tl3Ge2Au4
Method: DFT, PBE-GGA
State: relaxed

Results
DFT total energy = -58.62 eV for the cell shown
theoretical density = 12071 kg/m3
energy relative to the lowest polymorph listed for this composition = 21 meV per atom
formation enthalpy at 0 K = 15 meV per atom

Cell lengths 6.4393, 8.3448, 8.3448 Å; angles 71.78, 92.25, 92.25 degrees
With the nearest neighbours (Å) after each atom.
Positions (direct):
Au (0.4941, 0.5553, 0.8107)  2 Ge 2.60-2.64
Ge (0.9002, 0.4143, 0.1551)  4 Au 2.60-2.69, 1 Ge 2.86
Tl (0.2500, 0.4998, 0.5002)  6 Au 3.12-3.29, 2 Tl 3.22, 2 Ge 3.36
Tl (0.1014, 0.0035, 0.8038)  4 Au 2.96-3.15, 1 Tl 3.16
Tl (0.3986, 0.1962, 0.9965)  4 Au 2.96-3.15, 1 Tl 3.16
Au (0.3532, 0.8790, 0.3142)  2 Ge 2.66-2.69, 1 Au 2.87
Au (0.1468, 0.6858, 0.1210)  2 Ge 2.66-2.69, 1 Au 2.87
Ge (0.0998, 0.5857, 0.8449)  4 Au 2.60-2.69, 1 Ge 2.86
Au (0.8532, 0.3142, 0.8790)  2 Ge 2.66-2.69, 1 Au 2.87
Au (0.0059, 0.1893, 0.4447)  2 Ge 2.60-2.64
Au (0.6468, 0.1210, 0.6858)  2 Ge 2.66-2.69, 1 Au 2.87
Tl (0.8986, 0.9965, 0.1962)  4 Au 2.96-3.15, 1 Tl 3.16
Tl (0.7500, 0.5002, 0.4998)  6 Au 3.12-3.29, 2 Tl 3.22, 2 Ge 3.36
Au (0.9941, 0.8107, 0.5553)  2 Ge 2.60-2.64
Tl (0.6014, 0.8038, 0.0035)  4 Au 2.96-3.15, 1 Tl 3.16
Ge (0.5998, 0.8449, 0.5857)  4 Au 2.60-2.69, 1 Ge 2.86
Ge (0.4002, 0.1551, 0.4143)  4 Au 2.60-2.69, 1 Ge 2.86
Au (0.5059, 0.4447, 0.1893)  2 Ge 2.60-2.64